The following is a PBE calculation of an optimized crystal structure of Al3Zn3Ag2, from the Alexandria database.

Geometry as extended XYZ:
```
16
Lattice="11.940 0.000 0.000 0.000 4.698 0.000 -2.362 0.000 4.787" Properties=species:S:1:pos:R:3 pbc="T T T"
Al 0.000 0.000 0.000
Al -0.040 0.000 3.092
Al 3.648 2.349 1.695
Al 5.970 2.349 0.000
Al 5.930 2.349 3.092
Al 9.618 0.000 1.695
Zn -1.181 2.349 2.394
Zn 1.228 2.349 0.440
Zn 2.380 0.000 4.347
Zn 4.789 0.000 2.394
Zn 7.198 0.000 0.440
Zn 8.350 2.349 4.347
Ag 2.303 0.000 1.375
Ag 1.305 2.349 3.412
Ag 7.275 0.000 3.412
Ag 8.273 2.349 1.375
```

**Space-group type**: C2/m (12)
**Relative energy among the computed polymorphs**: 0.0193 eV/atom

=====

The following is a PBE calculation of an optimized crystal structure of Al4Zn4Ag3, from the Alexandria database.

Geometry as extended XYZ:
```
11
Lattice="4.725 0.000 0.000 -0.703 6.522 0.000 -1.561 -2.765 5.850" Properties=species:S:1:pos:R:3 pbc="T T T"
Al 0.458 1.347 0.288
Al 0.389 -0.788 2.395
Al 2.073 4.545 3.456
Al 2.003 2.409 5.562
Zn -1.139 0.750 3.975
Zn -0.364 3.479 4.503
Zn 2.825 0.278 1.347
Zn 3.600 3.007 1.875
Ag 1.178 4.140 0.784
Ag 1.231 1.878 2.925
Ag 1.283 -0.383 5.066
```

**Space-group type**: P-1 (2)

=====

The following is a PBE calculation of an optimized crystal structure of Al2ZnAg, from the Alexandria database.

Geometry as extended XYZ:
```
4
Lattice="4.539 0.000 0.000 0.000 4.539 0.000 0.000 0.000 3.272" Properties=species:S:1:pos:R:3 pbc="T T T"
Al 0.000 2.269 0.000
Al 2.269 0.000 0.000
Zn 0.000 0.000 1.636
Ag 2.269 2.269 1.636
```

**Space-group type**: P4/mmm (123)

=====

The following is a PBE calculation of an optimized crystal structure of Al5ZnAg8, from the Alexandria database.

Geometry as extended XYZ:
```
14
Lattice="-3.803 3.803 4.334 3.803 -3.803 4.334 3.803 3.803 -4.334" Properties=species:S:1:pos:R:3 pbc="T T T"
Al 0.000 0.000 0.000
Al 2.143 2.842 -0.590
Al 4.764 2.143 0.590
Al 1.660 0.961 3.744
Al -0.961 1.660 4.924
Zn 0.000 3.803 2.167
Ag 5.133 -0.566 0.953
Ag 4.430 2.498 -2.129
Ag 2.473 0.566 0.953
Ag 3.237 -1.330 3.381
Ag -0.627 1.304 2.205
Ag 4.369 1.330 3.381
Ag 2.498 3.175 2.129
Ag 1.304 0.627 6.463
```

**Space-group type**: I-4 (82)

=====

The following is a PBE calculation of an optimized crystal structure of Al5ZnAg6, from the Alexandria database.

Geometry as extended XYZ:
```
12
Lattice="4.946 0.000 0.000 -0.004 5.742 0.000 -2.187 -2.793 7.146" Properties=species:S:1:pos:R:3 pbc="T T T"
Al 0.000 0.000 0.000
Al 0.189 0.054 4.770
Al 0.188 2.922 4.773
Al 2.568 0.026 2.373
Al 2.566 2.894 2.376
Zn -0.002 2.871 0.000
Ag 0.094 1.460 2.384
Ag 0.093 4.335 2.386
Ag 0.286 -1.361 7.143
Ag 2.470 4.310 0.002
Ag 2.662 -1.387 4.760
Ag 2.661 1.489 4.761
```

**Space-group type**: P-1 (2)
**Relative energy among the computed polymorphs**: 0.0271 eV/atom

=====

The following is a PBE calculation of an optimized crystal structure of Al7ZnAg4, from the Alexandria database.

Geometry as extended XYZ:
```
12
Lattice="2.947 0.000 0.000 -1.473 2.552 0.000 0.000 0.000 26.725" Properties=species:S:1:pos:R:3 pbc="T T T"
Al 0.000 0.000 0.000
Al 0.000 0.000 6.752
Al 0.000 0.000 19.972
Al 0.000 1.701 4.501
Al 0.000 1.701 11.227
Al 1.473 0.851 15.497
Al 1.473 0.851 22.224
Zn 0.000 0.000 13.362
Ag 0.000 1.701 17.731
Ag 0.000 1.701 24.474
Ag 1.473 0.851 2.251
Ag 1.473 0.851 8.994
```

**Space-group type**: P-3m1 (164)

=====

The following is a PBE calculation of an optimized crystal structure of AlZnAg2, from the Alexandria database.

Geometry as extended XYZ:
```
4
Lattice="4.381 0.000 0.000 0.000 4.381 0.000 0.000 0.000 3.401" Properties=species:S:1:pos:R:3 pbc="T T T"
Al 0.000 0.000 0.000
Zn 2.190 2.190 0.000
Ag 0.000 2.190 1.700
Ag 2.190 0.000 1.700
```

**Space-group type**: P4/mmm (123)

=====

The following is a PBE calculation of an optimized crystal structure of AlZnAg2, from the Alexandria database.

Geometry as extended XYZ:
```
4
Lattice="2.861 0.000 0.000 0.000 4.354 0.000 -1.329 0.000 5.334" Properties=species:S:1:pos:R:3 pbc="T T T"
Al 0.000 0.000 0.000
Zn 0.031 2.177 1.548
Ag 0.092 2.177 4.300
Ag 1.467 0.000 2.546
```

**Space-group type**: Pm (6)

=====

Formation enthalpy at 0 K list, top to bottom, in meV per atom: 19; 4; 103; 56; 3; -31; -29; -25